First-principles (PBE-GGA) data for an optimized crystal structure of CoNi4, as listed in OQMD via LeMat-Bulk.

Cell lengths 8.519, 8.519, 4.522 Å; angles 90.00, 90.00, 90.00 degrees
Positions (direct):
Ni 0.181 0.181 0.749
Ni 0.681 0.319 0.751
Ni 0.461 0.134 0.000
Ni 0.039 0.634 0.500
Ni 0.819 0.819 0.251
Ni 0.736 0.066 0.000
Ni 0.319 0.681 0.751
Ni 0.181 0.181 0.251
Ni 0.264 0.934 0.000
Ni 0.681 0.319 0.249
Ni 0.819 0.819 0.749
Ni 0.434 0.236 0.500
Ni 0.566 0.764 0.500
Ni 0.961 0.366 0.500
Ni 0.066 0.736 0.000
Ni 0.539 0.866 0.000
Ni 0.134 0.461 0.000
Ni 0.866 0.539 0.000
Ni 0.236 0.434 0.500
Ni 0.319 0.681 0.249
Ni 0.764 0.566 0.500
Ni 0.634 0.039 0.500
Ni 0.366 0.961 0.500
Ni 0.934 0.264 0.000
Co 0.096 0.904 0.500
Co 0.500 0.500 0.500
Co 0.404 0.404 0.000
Co 0.000 0.000 0.000
Co 0.596 0.596 0.000
Co 0.904 0.096 0.500

Raw total energy in eV per atom: -5.786
Space group: No. 136
Calculated volume in Å³/atom: 10.94
ΔE_f in eV/atom: 0.09

=====

First-principles (PBE-GGA) data for an optimized crystal structure of PrAgGeO3, as listed in OQMD via LeMat-Bulk.

Cell lengths 5.148, 5.148, 9.625 Å; angles 90.00, 90.00, 133.76 degrees
Positions (direct):
O 0.568 0.432 0.750
O 0.135 0.865 0.920
O 0.865 0.135 0.080
O 0.135 0.865 0.580
O 0.432 0.568 0.250
O 0.865 0.135 0.420
Ge 0.948 0.052 0.250
Ge 0.052 0.948 0.750
Ag 0.799 0.201 0.750
Ag 0.201 0.799 0.250
Pr 0.500 0.500 0.000
Pr 0.500 0.500 0.500

Raw total energy in eV per atom: -6.151
Space group: No. 63
Calculated volume in Å³/atom: 15.35

=====

First-principles (PBE-GGA) data for an optimized crystal structure of HfPaMo, as listed in OQMD via LeMat-Bulk.

Cell lengths 4.670, 4.670, 4.670 Å; angles 60.00, 60.00, 60.00 degrees
Positions (direct):
Pa 0.750 0.750 0.750
Hf 0.250 0.250 0.250
Mo 0.000 0.000 0.000

Raw total energy in eV per atom: -9.747
Space group: No. 216
Calculated volume in Å³/atom: 24.01
ΔE_f in eV/atom: 0.35

=====

First-principles (PBE-GGA) data for an optimized crystal structure of MgSiNiMo, as listed in OQMD via LeMat-Bulk.

Cell lengths 4.251, 4.251, 4.251 Å; angles 60.00, 60.00, 60.00 degrees
Positions (direct):
Mo 0.250 0.250 0.250
Mg 0.500 0.500 0.500
Ni 0.750 0.750 0.750
Si 0.000 0.000 0.000

Raw total energy in eV per atom: -5.847
Space group: No. 216
Calculated volume in Å³/atom: 13.58

=====

First-principles (PBE-GGA) data for an optimized crystal structure of Li4MgAlHg2, as listed in OQMD via LeMat-Bulk.

Cell lengths 4.579, 4.579, 6.485 Å; angles 90.00, 90.00, 90.00 degrees
Positions (direct):
Li 0.000 0.500 0.240
Li 0.500 0.000 0.760
Li 0.000 0.000 0.000
Li 0.500 0.500 0.500
Al 0.500 0.500 0.000
Hg 0.500 0.000 0.239
Hg 0.000 0.500 0.761
Mg 0.000 0.000 0.500

Raw total energy in eV per atom: -1.973
Space group: No. 115
Calculated volume in Å³/atom: 16.99

=====

First-principles (PBE-GGA) data for an optimized crystal structure of HoReAsO, as listed in OQMD via LeMat-Bulk.

Cell lengths 3.945, 3.945, 8.476 Å; angles 90.00, 90.00, 90.00 degrees
Positions (direct):
Ho 0.000 0.500 0.873
Ho 0.500 0.000 0.127
Re 0.000 0.000 0.500
Re 0.500 0.500 0.500
As 0.500 0.000 0.685
As 0.000 0.500 0.315
O 0.000 0.000 0.000
O 0.500 0.500 0.000

Raw total energy in eV per atom: -8.270
Space group: No. 129
Calculated volume in Å³/atom: 16.49

=====

First-principles (PBE-GGA) data for an optimized crystal structure of PrSm4Bi5, as listed in OQMD via LeMat-Bulk.

Cell lengths 16.440, 16.440, 16.440 Å; angles 164.05, 164.05, 22.63 degrees
Positions (direct):
Sm 0.800 0.800 0.000
Sm 0.600 0.600 0.000
Sm 0.200 0.200 0.000
Sm 0.400 0.400 0.000
Bi 0.101 0.101 0.000
Bi 0.899 0.899 0.000
Bi 0.500 0.500 0.000
Bi 0.300 0.300 0.000
Bi 0.700 0.700 0.000
Pr 0.000 0.000 0.000

Raw total energy in eV per atom: -5.336
Space group: No. 139
Calculated volume in Å³/atom: 33.54

=====

First-principles (PBE-GGA) data for an optimized crystal structure of Lu2TlAg, as listed in OQMD via LeMat-Bulk.

Cell lengths 4.835, 4.835, 10.627 Å; angles 90.00, 90.00, 120.00 degrees
Positions (direct):
Ag 0.000 0.000 0.500
Ag 0.000 0.000 0.000
Lu 0.333 0.667 0.903
Lu 0.667 0.333 0.403
Lu 0.667 0.333 0.097
Lu 0.333 0.667 0.597
Tl 0.333 0.667 0.250
Tl 0.667 0.333 0.750

Raw total energy in eV per atom: -3.558
Space group: No. 194
Calculated volume in Å³/atom: 26.90

=====

First-principles (PBE-GGA) data for an optimized crystal structure of PmZn2Ir, as listed in OQMD via LeMat-Bulk.

Cell lengths 7.656, 7.219, 5.599 Å; angles 90.00, 90.00, 90.00 degrees
Positions (direct):
Ir 0.368 0.250 0.155
Ir 0.132 0.750 0.655
Ir 0.868 0.250 0.345
Ir 0.632 0.750 0.845
Zn 0.343 0.944 0.914
Zn 0.843 0.944 0.586
Zn 0.843 0.556 0.586
Zn 0.657 0.444 0.086
Zn 0.157 0.444 0.414
Zn 0.343 0.556 0.914
Zn 0.157 0.056 0.414
Zn 0.657 0.056 0.086
Pm 0.953 0.750 0.102
Pm 0.047 0.250 0.898
Pm 0.547 0.250 0.602
Pm 0.453 0.750 0.398

Raw total energy in eV per atom: -4.538
Space group: No. 62
Calculated volume in Å³/atom: 19.34
ΔE_f in eV/atom: -0.51

=====

First-principles (PBE-GGA) data for an optimized crystal structure of PrCdSn2, as listed in OQMD via LeMat-Bulk.

Cell lengths 4.829, 4.829, 4.542 Å; angles 90.00, 90.00, 90.00 degrees
Positions (direct):
Cd 0.000 0.000 0.500
Sn 0.000 0.500 0.000
Sn 0.500 0.000 0.000
Pr 0.500 0.500 0.500

Raw total energy in eV per atom: -3.929
Space group: No. 123
Calculated volume in Å³/atom: 26.48

=====

First-principles (PBE-GGA) data for an optimized crystal structure of HfBeGaIr, as listed in OQMD via LeMat-Bulk.

Cell lengths 4.331, 4.331, 4.331 Å; angles 60.00, 60.00, 60.00 degrees
Positions (direct):
Be 0.750 0.750 0.750
Ir 0.000 0.000 0.000
Hf 0.500 0.500 0.500
Ga 0.250 0.250 0.250

Raw total energy in eV per atom: -6.794
Space group: No. 216
Calculated volume in Å³/atom: 14.36

=====

First-principles (PBE-GGA) data for an optimized crystal structure of DyZr2Al3Cu2Ni, as listed in OQMD via LeMat-Bulk.

Cell lengths 3.993, 6.706, 6.706 Å; angles 119.81, 90.00, 90.00 degrees
Positions (direct):
Al 0.500 0.765 0.765
Al 0.500 0.993 0.239
Al 0.500 0.239 0.993
Dy 0.000 0.412 0.412
Ni 0.000 0.992 0.992
Cu 0.500 0.332 0.672
Cu 0.500 0.672 0.332
Zr 0.000 0.594 0.003
Zr 0.000 0.003 0.594

Raw total energy in eV per atom: -5.598
Space group: No. 38
Calculated volume in Å³/atom: 17.32

=====

First-principles (PBE-GGA) data for an optimized crystal structure of ZrGaCuPt, as listed in OQMD via LeMat-Bulk.

Cell lengths 4.467, 4.467, 4.467 Å; angles 60.00, 60.00, 60.00 degrees
Positions (direct):
Cu 0.750 0.750 0.750
Zr 0.000 0.000 0.000
Pt 0.500 0.500 0.500
Ga 0.250 0.250 0.250

Raw total energy in eV per atom: -5.892
Space group: No. 216
Calculated volume in Å³/atom: 15.76

=====

First-principles (PBE-GGA) data for an optimized crystal structure of Cu2PdPt3, as listed in OQMD via LeMat-Bulk.

Cell lengths 2.750, 2.750, 13.251 Å; angles 90.00, 90.00, 120.00 degrees
Positions (direct):
Pt 0.667 0.333 0.322
Pt 0.333 0.667 0.678
Pt 0.000 0.000 0.000
Pd 0.000 0.000 0.500
Cu 0.333 0.667 0.161
Cu 0.667 0.333 0.839

Raw total energy in eV per atom: -5.251
Space group: No. 164
Calculated volume in Å³/atom: 14.47
ΔE_f in eV/atom: -0.12

=====

First-principles (PBE-GGA) data for an optimized crystal structure of DyInNi, as listed in OQMD via LeMat-Bulk.

Cell lengths 8.177, 8.177, 3.240 Å; angles 90.00, 90.00, 120.00 degrees
Positions (direct):
In 0.333 0.667 0.000
In 0.667 0.333 0.000
In 0.000 0.000 0.500
Ni 0.000 0.646 0.500
Ni 0.646 0.000 0.500
Ni 0.354 0.354 0.500
Dy 0.000 0.300 0.000
Dy 0.300 0.000 0.000
Dy 0.700 0.700 0.000

Raw total energy in eV per atom: -4.267
Space group: No. 189
Calculated volume in Å³/atom: 20.85

=====

First-principles (PBE-GGA) data for an optimized crystal structure of HfAl2Pd, as listed in OQMD via LeMat-Bulk.

Cell lengths 4.575, 4.575, 4.575 Å; angles 60.00, 60.00, 60.00 degrees
Positions (direct):
Al 0.000 0.000 0.000
Al 0.750 0.750 0.750
Pd 0.500 0.500 0.500
Hf 0.250 0.250 0.250

Raw total energy in eV per atom: -6.096
Space group: No. 216
Calculated volume in Å³/atom: 16.93

=====

First-principles (PBE-GGA) data for an optimized crystal structure of NaH4Pd, as listed in OQMD via LeMat-Bulk.

Cell lengths 5.638, 5.638, 5.638 Å; angles 130.00, 130.00, 73.41 degrees
Positions (direct):
H 0.372 0.304 0.432
H 0.690 0.622 0.568
H 0.054 0.122 0.432
H 0.378 0.946 0.068
H 0.060 0.628 0.932
H 0.696 0.128 0.068
H 0.872 0.940 0.568
H 0.878 0.310 0.932
Na 0.500 0.500 0.000
Na 0.250 0.750 0.500
Pd 0.000 0.000 0.000
Pd 0.750 0.250 0.500

Raw total energy in eV per atom: -3.217
Space group: No. 88
Calculated volume in Å³/atom: 8.55

=====

First-principles (PBE-GGA) data for an optimized crystal structure of PrLuPt2, as listed in OQMD via LeMat-Bulk.

Cell lengths 4.541, 7.149, 5.593 Å; angles 90.00, 90.00, 90.00 degrees
Positions (direct):
Pt 0.000 0.680 0.844
Pt 0.000 0.231 0.657
Pt 0.500 0.320 0.344
Pt 0.500 0.769 0.157
Lu 0.500 0.433 0.858
Lu 0.000 0.567 0.358
Pr 0.000 0.071 0.141
Pr 0.500 0.929 0.641

Raw total energy in eV per atom: -6.580
Space group: No. 31
Calculated volume in Å³/atom: 22.70
ΔE_f in eV/atom: -1.23

=====

First-principles (PBE-GGA) data for an optimized crystal structure of Ir2PbS4, as listed in OQMD via LeMat-Bulk.

Cell lengths 6.056, 6.056, 10.866 Å; angles 90.00, 90.00, 127.06 degrees
Positions (direct):
S 0.837 0.678 0.000
S 0.000 0.500 0.330
S 0.000 0.500 0.670
S 0.500 0.000 0.170
S 0.500 0.000 0.830
S 0.678 0.837 0.500
S 0.322 0.163 0.500
S 0.163 0.322 0.000
Ir 0.254 0.745 0.000
Ir 0.745 0.254 0.500
Ir 0.255 0.746 0.500
Ir 0.746 0.255 0.000
Pb 0.000 0.000 0.750
Pb 0.000 0.000 0.250

Raw total energy in eV per atom: -5.541
Space group: No. 66
Calculated volume in Å³/atom: 22.71

=====

First-principles (PBE-GGA) data for an optimized crystal structure of CuAu, as listed in OQMD via LeMat-Bulk.

Cell lengths 8.000, 8.000, 8.000 Å; angles 109.47, 109.47, 109.47 degrees
Positions (direct):
Au 0.195 0.543 0.543
Au 0.457 0.805 0.457
Au 0.000 0.000 0.000
Au 0.457 0.457 0.805
Au 0.543 0.195 0.543
Au 0.881 0.119 0.500
Au 0.119 0.881 0.500
Au 0.881 0.500 0.119
Au 0.500 0.881 0.119
Au 0.543 0.543 0.195
Au 0.500 0.119 0.881
Au 0.805 0.457 0.457
Au 0.119 0.500 0.881
Cu 0.821 0.821 0.600
Cu 0.841 0.182 0.182
Cu 0.821 0.600 0.821
Cu 0.600 0.821 0.821
Cu 0.500 0.500 0.500
Cu 0.400 0.179 0.179
Cu 0.182 0.182 0.841
Cu 0.818 0.159 0.818
Cu 0.179 0.179 0.400
Cu 0.159 0.818 0.818
Cu 0.182 0.841 0.182
Cu 0.179 0.400 0.179
Cu 0.818 0.818 0.159

Raw total energy in eV per atom: -3.518
Space group: No. 166
Calculated volume in Å³/atom: 15.16
ΔE_f in eV/atom: -0.03